Density functional theory data (PBE) for Ac2PrIr after structural relaxation.

a = 7.273 Å, b = 6.836 Å, c = 12.351 Å
α = 90.00°, β = 90.00°, γ = 90.00°
Space group Pnna (No. 52)
One atom of each set of equivalent atoms:
Ac 0.085 0.245 0.082 [8 per cell]
Pr 0.078 0.250 0.750 [4 per cell]
Ir 0.250 0.000 0.907 [4 per cell]

## Properties
* ΔE_f: -0.39 eV per atom

***

Density functional theory data (PBE) for Ac12PrIr7 after structural relaxation.

a = 15.4995 Å, b = 15.4995 Å, c = 10.5850 Å
α = 90.00°, β = 90.00°, γ = 120.00°
Space group R-3 (No. 148, hexagonal axes)
One atom of each set of equivalent atoms:
Ac 0.0278 0.5846 0.1593 [18 per cell]
Ac 0.0449 0.1674 0.8254 [18 per cell]
Pr 0.0000 0.0000 0.5000 [3 per cell]
Ir 0.0000 0.0000 0.0000 [3 per cell]
Ir 0.0457 0.1837 0.3336 [18 per cell]

## Properties
* ΔE_f: -0.57 eV per atom

***

Density functional theory data (PBE) for Ac3PrIr after structural relaxation.

a = 5.912 Å, b = 5.912 Å, c = 5.912 Å
α = 90.00°, β = 90.00°, γ = 90.00°
Space group Pm-3m (No. 221)
One atom of each set of equivalent atoms:
Ac 0.000 0.000 0.500 [3 per cell]
Pr 0.500 0.500 0.500 [1 per cell]
Ir 0.000 0.000 0.000 [1 per cell]

## Properties
* ΔE_f: -0.21 eV per atom

***

Density functional theory data (PBE) for Ac5Pr2Ir4 after structural relaxation.

a = 23.154 Å, b = 4.202 Å, c = 7.813 Å
α = 90.00°, β = 109.51°, γ = 90.00°
Space group C2/m (No. 12)
One atom of each set of equivalent atoms:
Ac 0.000 0.000 0.000 [2 per cell]
Ac 0.172 0.500 0.421 [4 per cell]
Ac 0.177 0.500 0.946 [4 per cell]
Pr 0.070 0.000 0.592 [4 per cell]
Ir 0.023 0.500 0.319 [4 per cell]
Ir 0.206 0.000 0.714 [4 per cell]

## Properties
* ΔE_f: -0.45 eV per atom

***

Density functional theory data (PBE) for AcPr8Ir6 after structural relaxation.

a = 8.6376 Å, b = 8.6376 Å, c = 18.9522 Å
α = 90.00°, β = 90.00°, γ = 120.00°
Space group R-3 (No. 148, hexagonal axes)
One atom of each set of equivalent atoms:
Ac 0.0000 0.0000 0.0000 [3 per cell]
Pr 0.0000 0.0000 0.3357 [6 per cell]
Pr 0.0035 0.3291 0.2208 [18 per cell]
Ir 0.0010 0.3360 0.0595 [18 per cell]

## Properties
* ΔE_f: -0.54 eV per atom

***

Density functional theory data (PBE) for AcPrIrPt after structural relaxation.

a = 7.347 Å, b = 7.347 Å, c = 7.347 Å
α = 90.00°, β = 90.00°, γ = 90.00°
Space group F-43m (No. 216)
One atom of each set of equivalent atoms:
Ac 0.000 0.000 0.000 [4 per cell]
Pr 0.000 0.000 0.500 [4 per cell]
Ir 0.250 0.250 0.250 [4 per cell]
Pt 0.250 0.250 0.750 [4 per cell]

## Properties
* ΔE_f: -0.75 eV per atom